[1]
Here is a relaxed HoLuFeCu crystal from the Alexandria database. Energies are from PBE-GGA.

The total energy comes out at -5.482 eV/atom.

The structure belongs to space group F-43m (No. 216); the cell edges are 6.683, 6.683 and 6.683 Å and the angles 90.00°, 90.00° and 90.00°. The asymmetric unit holds Ho at (0.000, 0.000, 0.000), Lu at (0.000, 0.000, 0.500), Fe at (0.250, 0.250, 0.750) and Cu at (0.250, 0.250, 0.250).

=====

[2]
Here is a relaxed TaAlOs2 crystal from the Alexandria database. Energies are from PBE-GGA.

For the polymorph energy (0 for the lowest one), the calculation gives 329 meV per atom.

The structure belongs to space group I-4m2 (No. 119); the cell edges are 3.765, 3.765 and 8.584 Å and the angles 90.00°, 90.00° and 90.00°. The asymmetric unit holds Ta at (0.000, 0.000, 0.000), Al at (0.000, 0.500, 0.750), Os at (0.000, 0.000, 0.500) and Os at (0.000, 0.500, 0.250).

=====

[3]
Here is a relaxed Na3Hg2 crystal from the Alexandria database. Energies are from PBE-GGA.

For the polymorph energy (0 for the lowest one), the calculation gives 43 meV per atom.

The structure belongs to space group P4_2/mnm (No. 136); the cell edges are 8.916, 8.916 and 7.061 Å and the angles 90.00°, 90.00° and 90.00°. The asymmetric unit holds Na at (0.000, 0.500, 0.000), Na at (0.125, 0.125, 0.000), Na at (0.149, 0.149, 0.500) and Hg at (0.160, 0.840, 0.280).

=====

[4]
Here is a relaxed Mg2OsPb crystal from the Alexandria database. Energies are from PBE-GGA.

The total energy comes out at -4.239 eV/atom.

The structure belongs to space group I-4m2 (No. 119); the cell edges are 4.219, 4.219 and 8.384 Å and the angles 90.00°, 90.00° and 90.00°. The asymmetric unit holds Mg at (0.000, 0.000, 0.000), Mg at (0.000, 0.500, 0.250), Os at (0.000, 0.500, 0.750) and Pb at (0.000, 0.000, 0.500).

=====

[5]
Here is a relaxed Th6RuPt2S3 crystal from the Alexandria database. Energies are from PBE-GGA.

The calculation puts the formation energy (no corrections) at -1330 meV per atom.

The structure belongs to space group C2/m (No. 12); the cell edges are 18.419, 4.089 and 8.511 Å and the angles 90.00°, 106.45° and 90.00°. The asymmetric unit holds Th at (0.001, 0.000, 0.235), Th at (0.159, 0.500, 0.085), Th at (0.167, 0.500, 0.583), Ru at (0.000, 0.500, 0.000), Pt at (0.167, 0.000, 0.337), S at (0.000, 0.500, 0.500) and S at (0.169, 0.000, 0.834).

=====

[6]
Here is a relaxed Ac crystal from the Alexandria database. Energies are from PBE-GGA.

For the polymorph energy (0 for the lowest one), the calculation gives 0 meV per atom.

The structure belongs to space group P6_3/mmc (No. 194); the cell edges are 4.0174, 4.0174 and 12.9630 Å and the angles 90.00°, 90.00° and 120.00°. The asymmetric unit holds Ac at (0.0000, 0.0000, 0.0000) and Ac at (0.3333, 0.6667, 0.2500).

=====

[7]
Here is a relaxed NiHN crystal from the Alexandria database. Energies are from PBE-GGA.

For the polymorph energy (0 for the lowest one), the calculation gives 0 meV per atom.

The structure belongs to space group P2_1/m (No. 11); the cell edges are 2.676, 4.842 and 4.296 Å and the angles 90.00°, 107.46° and 90.00°. The asymmetric unit holds Ni at (0.000, 0.000, 0.000), H at (0.295, 0.250, 0.574) and N at (0.417, 0.250, 0.827).

=====

[8]
Here is a relaxed PaFeSi2Ru2 crystal from the Alexandria database. Energies are from PBE-GGA.

The calculation puts the formation energy (no corrections) at -272 meV per atom.

The structure belongs to space group I4/mmm (No. 139); the cell edges are 3.751, 3.751 and 14.887 Å and the angles 90.00°, 90.00° and 90.00°. The asymmetric unit holds Pa at (0.000, 0.000, 0.000), Fe at (0.000, 0.000, 0.500), Si at (0.000, 0.000, 0.350) and Ru at (0.000, 0.500, 0.250).

=====

[9]
Here is a relaxed La2MgTl crystal from the Alexandria database. Energies are from PBE-GGA.

For the polymorph energy (0 for the lowest one), the calculation gives 54 meV per atom.

The structure belongs to space group Pm (No. 6); the cell edges are 3.748, 5.093 and 6.789 Å and the angles 90.00°, 105.78° and 90.00°. The asymmetric unit holds La at (0.000, 0.000, 0.000), La at (0.327, 0.500, 0.658), Mg at (0.600, 0.500, 0.199) and Tl at (0.730, 0.000, 0.464).

=====

[10]
Here is a relaxed Si2P4Ir crystal from the Alexandria database. Energies are from PBE-GGA.

The calculation puts the formation energy (no corrections) at -258 meV per atom.

The structure belongs to space group C2/m (No. 12); the cell edges are 6.558, 7.357 and 5.578 Å and the angles 90.00°, 118.93° and 90.00°. The asymmetric unit holds Si at (0.087, 0.000, 0.361), P at (0.064, 0.276, 0.844) and Ir at (0.000, 0.500, 0.500).

=====

[11]
Here is a relaxed MnPd4 crystal from the Alexandria database. Energies are from PBE-GGA.

For the polymorph energy (0 for the lowest one), the calculation gives 0 meV per atom.

The structure belongs to space group I4/m (No. 87); the cell edges are 6.198, 6.198 and 3.973 Å and the angles 90.00°, 90.00° and 90.00°. The asymmetric unit holds Mn at (0.000, 0.000, 0.000) and Pd at (0.101, 0.299, 0.500).

=====

[12]
Here is a relaxed Pa3Si3OsRu2 crystal from the Alexandria database. Energies are from PBE-GGA.

The calculation puts the formation energy (no corrections) at -709 meV per atom.

The structure belongs to space group P-62m (No. 189); the cell edges are 6.9627, 6.9627 and 3.9225 Å and the angles 90.00°, 90.00° and 120.00°. The asymmetric unit holds Pa at (0.0000, 0.5813, 0.0000), Si at (0.0000, 0.2399, 0.5000), Os at (0.0000, 0.0000, 0.0000) and Ru at (0.3333, 0.6667, 0.5000).

=====

[13]
Here is a relaxed Ce2ZnCu2Rh5 crystal from the Alexandria database. Energies are from PBE-GGA.

The total energy comes out at -6.274 eV/atom.

The structure belongs to space group P4/mbm (No. 127); the cell edges are 9.304, 9.304 and 3.821 Å and the angles 90.00°, 90.00° and 90.00°. The asymmetric unit holds Ce at (0.176, 0.324, 0.000), Zn at (0.000, 0.000, 0.000), Cu at (0.123, 0.623, 0.000), Rh at (0.000, 0.500, 0.500) and Rh at (0.076, 0.800, 0.500).

=====

[14]
Here is a relaxed VSnI4 crystal from the Alexandria database. Energies are from PBE-GGA.

The calculation puts the formation energy (no corrections) at -453 meV per atom.

The structure belongs to space group C2/m (No. 12); the cell edges are 16.207, 4.285 and 7.711 Å and the angles 90.00°, 111.96° and 90.00°. The asymmetric unit holds V at (0.000, 0.000, 0.000), Sn at (0.000, 0.500, 0.500), I at (0.107, 0.500, 0.942) and I at (0.116, 0.000, 0.386).

=====

[15]
Here is a relaxed Ca2Sm5Dy crystal from the Alexandria database. Energies are from PBE-GGA.

The total energy comes out at -3.972 eV/atom.

The structure belongs to space group I4/mmm (No. 139); the cell edges are 5.166, 5.166 and 21.046 Å and the angles 90.00°, 90.00° and 90.00°. The asymmetric unit holds Ca at (0.000, 0.000, 0.250), Sm at (0.000, 0.000, 0.000), Sm at (0.000, 0.500, 0.117) and Dy at (0.000, 0.000, 0.500).

=====

[16]
Here is a relaxed Er2TmAl crystal from the Alexandria database. Energies are from PBE-GGA.

For the polymorph energy (0 for the lowest one), the calculation gives 4 meV per atom.

The structure belongs to space group P4/mmm (No. 123); the cell edges are 4.709, 4.709 and 4.701 Å and the angles 90.00°, 90.00° and 90.00°. The asymmetric unit holds Er at (0.000, 0.500, 0.000), Tm at (0.000, 0.000, 0.500) and Al at (0.500, 0.500, 0.500).

=====

[17]
Here is a relaxed TmMg3Pd2 crystal from the Alexandria database. Energies are from PBE-GGA.

The total energy comes out at -3.833 eV/atom.

The structure belongs to space group C2/m (No. 12); the cell edges are 15.931, 4.040 and 8.961 Å and the angles 90.00°, 120.03° and 90.00°. The asymmetric unit holds Tm at (0.125, 0.000, 0.136), Mg at (0.022, 0.000, 0.678), Mg at (0.163, 0.500, 0.482), Mg at (0.177, 0.500, 0.885), Pd at (0.001, 0.500, 0.153) and Pd at (0.220, 0.000, 0.726).

=====

[18]
Here is a relaxed NaSn2RhO crystal from the Alexandria database. Energies are from PBE-GGA.

The calculation puts the formation energy (no corrections) at -177 meV per atom.

The structure belongs to space group P4/mmm (No. 123); the cell edges are 4.860, 4.860 and 4.216 Å and the angles 90.00°, 90.00° and 90.00°. The asymmetric unit holds Na at (0.000, 0.000, 0.000), Sn at (0.000, 0.500, 0.500), Rh at (0.500, 0.500, 0.000) and O at (0.500, 0.500, 0.500).

=====

[19]
Here is a relaxed Nd2Sm crystal from the Alexandria database. Energies are from PBE-GGA.

For the polymorph energy (0 for the lowest one), the calculation gives 241 meV per atom.

The structure belongs to space group Fd-3m (No. 227, origin choice 2); the cell edges are 9.509, 9.509 and 9.509 Å and the angles 90.00°, 90.00° and 90.00°. The asymmetric unit holds Nd at (0.000, 0.000, 0.000) and Sm at (0.125, 0.125, 0.625).

=====

[20]
Here is a relaxed MnFe3Cl crystal from the Alexandria database. Energies are from PBE-GGA.

The calculation puts the formation energy (no corrections) at 1148 meV per atom. For the polymorph energy (0 for the lowest one), the calculation gives 0 meV per atom.

The structure belongs to space group Pm-3m (No. 221); the cell edges are 4.080, 4.080 and 4.080 Å and the angles 90.00°, 90.00° and 90.00°. The asymmetric unit holds Mn at (0.000, 0.000, 0.000), Fe at (0.000, 0.500, 0.500) and Cl at (0.500, 0.500, 0.500).